A plane-wave DFT calculation with PBE was carried out for a relaxed VZn2Rh crystal.

The structure in CIF format:
```
data_VZn2Rh
_cell_length_a 6.9942
_cell_length_b 6.9942
_cell_length_c 5.0336
_cell_angle_alpha 90.00
_cell_angle_beta 90.00
_cell_angle_gamma 90.00
_space_group_name_H-M_alt 'I -4 2 d'
_space_group_IT_number 122
_space_group_name_Hall 'I -4 2bw'
loop_
_atom_site_label
_atom_site_type_symbol
_atom_site_fract_x
_atom_site_fract_y
_atom_site_fract_z
V1 V 0.0000 0.0000 0.0000
Zn1 Zn 0.2420 0.2500 0.6250
Rh1 Rh 0.0000 0.0000 0.5000
```

Calculated values
Total energy in eV for the cell shown: -71.8

---

A plane-wave DFT calculation with PBE was carried out for a relaxed V4ZnRh5 crystal.

The structure in CIF format:
```
data_V4ZnRh5
_cell_length_a 2.7754
_cell_length_b 2.7754
_cell_length_c 17.8894
_cell_angle_alpha 90.00
_cell_angle_beta 90.00
_cell_angle_gamma 90.00
_space_group_name_H-M_alt 'P 4/m m m'
_space_group_IT_number 123
_space_group_name_Hall '-P 4 2'
loop_
_atom_site_label
_atom_site_type_symbol
_atom_site_fract_x
_atom_site_fract_y
_atom_site_fract_z
V1 V 0.0000 0.0000 0.1010
V2 V 0.0000 0.0000 0.3036
Zn1 Zn 0.0000 0.0000 0.5000
Rh1 Rh 0.5000 0.5000 0.0000
Rh2 Rh 0.5000 0.5000 0.2020
Rh3 Rh 0.5000 0.5000 0.3976
```

Calculated values
Total energy in eV for the cell shown: -78.4

---

A plane-wave DFT calculation with PBE was carried out for a relaxed VZnRh6 crystal.

The structure in CIF format:
```
data_VZnRh6
_cell_length_a 3.8148
_cell_length_b 3.8148
_cell_length_c 7.6873
_cell_angle_alpha 90.00
_cell_angle_beta 90.00
_cell_angle_gamma 90.00
_space_group_name_H-M_alt 'P 4/m m m'
_space_group_IT_number 123
_space_group_name_Hall '-P 4 2'
loop_
_atom_site_label
_atom_site_type_symbol
_atom_site_fract_x
_atom_site_fract_y
_atom_site_fract_z
V1 V 0.0000 0.0000 0.0000
Zn1 Zn 0.0000 0.0000 0.5000
Rh1 Rh 0.0000 0.5000 0.2424
Rh2 Rh 0.5000 0.5000 0.0000
Rh3 Rh 0.5000 0.5000 0.5000
```

Calculated values
Energy above the lowest structure with this stoichiometry in eV/atom: 0.000
Total energy in eV for the cell shown: -56.7

---

A plane-wave DFT calculation with PBE was carried out for a relaxed ZrVZnRh crystal.

The structure in CIF format:
```
data_ZrVZnRh
_cell_length_a 6.3569
_cell_length_b 6.3569
_cell_length_c 6.3569
_cell_angle_alpha 90.00
_cell_angle_beta 90.00
_cell_angle_gamma 90.00
_space_group_name_H-M_alt 'F -4 3 m'
_space_group_IT_number 216
_space_group_name_Hall 'F -4 2 3'
loop_
_atom_site_label
_atom_site_type_symbol
_atom_site_fract_x
_atom_site_fract_y
_atom_site_fract_z
Zr1 Zr 0.0000 0.0000 0.0000
V1 V 0.2500 0.2500 0.2500
Zn1 Zn 0.0000 0.0000 0.5000
Rh1 Rh 0.2500 0.2500 0.7500
```

Calculated values
Total energy in eV for the cell shown: -109.7

---

A plane-wave DFT calculation with PBE was carried out for a relaxed Zr2VRh crystal.

The structure in CIF format:
```
data_Zr2VRh
_cell_length_a 3.2884
_cell_length_b 3.2884
_cell_length_c 6.6787
_cell_angle_alpha 90.00
_cell_angle_beta 90.00
_cell_angle_gamma 90.00
_space_group_name_H-M_alt 'P 4/m m m'
_space_group_IT_number 123
_space_group_name_Hall '-P 4 2'
loop_
_atom_site_label
_atom_site_type_symbol
_atom_site_fract_x
_atom_site_fract_y
_atom_site_fract_z
Zr1 Zr 0.0000 0.0000 0.2491
V1 V 0.5000 0.5000 0.5000
Rh1 Rh 0.5000 0.5000 0.0000
```

Calculated values
Energy above the lowest structure with this stoichiometry in eV/atom: 0.000
Total energy in eV for the cell shown: -35.0

---

A plane-wave DFT calculation with PBE was carried out for a relaxed ZrV2Rh2 crystal.

The structure in CIF format:
```
data_ZrV2Rh2
_cell_length_a 7.4422
_cell_length_b 7.4422
_cell_length_c 2.7917
_cell_angle_alpha 90.00
_cell_angle_beta 90.00
_cell_angle_gamma 90.00
_space_group_name_H-M_alt 'P 4/m b m'
_space_group_IT_number 127
_space_group_name_Hall '-P 4 2ab'
loop_
_atom_site_label
_atom_site_type_symbol
_atom_site_fract_x
_atom_site_fract_y
_atom_site_fract_z
Zr1 Zr 0.0000 0.0000 0.0000
V1 V 0.1512 0.3488 0.0000
Rh1 Rh 0.1457 0.6457 0.5000
```

Calculated values
Energy above the lowest structure with this stoichiometry in eV/atom: 0.000
Total energy in eV for the cell shown: -86.1

---

A plane-wave DFT calculation with PBE was carried out for a relaxed ZrV2Rh2 crystal.

The structure in CIF format:
```
data_ZrV2Rh2
_cell_length_a 4.1254
_cell_length_b 4.1254
_cell_length_c 10.0364
_cell_angle_alpha 90.00
_cell_angle_beta 90.00
_cell_angle_gamma 90.00
_space_group_name_H-M_alt 'I 4/m m m'
_space_group_IT_number 139
_space_group_name_Hall '-I 4 2'
loop_
_atom_site_label
_atom_site_type_symbol
_atom_site_fract_x
_atom_site_fract_y
_atom_site_fract_z
Zr1 Zr 0.0000 0.0000 0.0000
V1 V 0.0000 0.5000 0.2500
Rh1 Rh 0.0000 0.0000 0.3746
```

Calculated values
Energy above the lowest structure with this stoichiometry in eV/atom: 0.073
Total energy in eV for the cell shown: -85.3

---

A plane-wave DFT calculation with PBE was carried out for a relaxed Zr2VRh2 crystal.

The structure in CIF format:
```
data_Zr2VRh2
_cell_length_a 6.4259
_cell_length_b 6.4259
_cell_length_c 4.3702
_cell_angle_alpha 90.00
_cell_angle_beta 90.00
_cell_angle_gamma 90.00
_space_group_name_H-M_alt 'P 4/m b m'
_space_group_IT_number 127
_space_group_name_Hall '-P 4 2ab'
loop_
_atom_site_label
_atom_site_type_symbol
_atom_site_fract_x
_atom_site_fract_y
_atom_site_fract_z
Zr1 Zr 0.1747 0.3253 0.0000
V1 V 0.0000 0.0000 0.5000
Rh1 Rh 0.1440 0.6440 0.5000
```

Calculated values
Total energy in eV for the cell shown: -86.2

---

A plane-wave DFT calculation with PBE was carried out for a relaxed Zr2VRh crystal.

The structure in CIF format:
```
data_Zr2VRh
_cell_length_a 7.3318
_cell_length_b 7.3318
_cell_length_c 5.8239
_cell_angle_alpha 90.00
_cell_angle_beta 90.00
_cell_angle_gamma 90.00
_space_group_name_H-M_alt 'I -4 2 d'
_space_group_IT_number 122
_space_group_name_Hall 'I -4 2bw'
loop_
_atom_site_label
_atom_site_type_symbol
_atom_site_fract_x
_atom_site_fract_y
_atom_site_fract_z
Zr1 Zr 0.2290 0.2500 0.1250
V1 V 0.0000 0.0000 0.5000
Rh1 Rh 0.0000 0.0000 0.0000
```

Calculated values
Energy above the lowest structure with this stoichiometry in eV/atom: 0.501
Total energy in eV for the cell shown: -131.8

---

A plane-wave DFT calculation with PBE was carried out for a relaxed Zr3VRh crystal.

The structure in CIF format:
```
data_Zr3VRh
_cell_length_a 4.7828
_cell_length_b 4.7828
_cell_length_c 4.7828
_cell_angle_alpha 90.00
_cell_angle_beta 90.00
_cell_angle_gamma 90.00
_space_group_name_H-M_alt 'P m -3 m'
_space_group_IT_number 221
_space_group_name_Hall '-P 4 2 3'
loop_
_atom_site_label
_atom_site_type_symbol
_atom_site_fract_x
_atom_site_fract_y
_atom_site_fract_z
Zr1 Zr 0.0000 0.0000 0.5000
V1 V 0.0000 0.0000 0.0000
Rh1 Rh 0.5000 0.5000 0.5000
```

Calculated values
Energy above the lowest structure with this stoichiometry in eV/atom: 0.094
Total energy in eV for the cell shown: -38.9

---

A plane-wave DFT calculation with PBE was carried out for a relaxed Zr2VRh crystal.

The structure in CIF format:
```
data_Zr2VRh
_cell_length_a 6.6172
_cell_length_b 6.6172
_cell_length_c 6.6172
_cell_angle_alpha 90.00
_cell_angle_beta 90.00
_cell_angle_gamma 90.00
_space_group_name_H-M_alt 'F m -3 m'
_space_group_IT_number 225
_space_group_name_Hall '-F 4 2 3'
loop_
_atom_site_label
_atom_site_type_symbol
_atom_site_fract_x
_atom_site_fract_y
_atom_site_fract_z
Zr1 Zr 0.2500 0.2500 0.2500
V1 V 0.0000 0.0000 0.0000
Rh1 Rh 0.0000 0.0000 0.5000
```

Calculated values
Energy above the lowest structure with this stoichiometry in eV/atom: 0.048
Total energy in eV for the cell shown: -139.1

---

A plane-wave DFT calculation with PBE was carried out for a relaxed Zr2V3Rh crystal.

The structure in CIF format:
```
data_Zr2V3Rh
_cell_length_a 5.1820
_cell_length_b 5.1820
_cell_length_c 12.9018
_cell_angle_alpha 90.00
_cell_angle_beta 90.00
_cell_angle_gamma 120.00
_space_group_name_H-M_alt 'R -3 m'
_space_group_IT_number 166
_space_group_name_Hall '-R 3 2"'
loop_
_atom_site_label
_atom_site_type_symbol
_atom_site_fract_x
_atom_site_fract_y
_atom_site_fract_z
Zr1 Zr 0.0000 0.0000 0.1252
V1 V 0.0000 0.5000 0.0000
Rh1 Rh 0.0000 0.0000 0.5000
```

Calculated values
Total energy in eV for the cell shown: -161.1

---

A plane-wave DFT calculation with PBE was carried out for a relaxed ZrV2Rh crystal.

The structure in CIF format:
```
data_ZrV2Rh
_cell_length_a 6.2566
_cell_length_b 6.2566
_cell_length_c 6.2566
_cell_angle_alpha 90.00
_cell_angle_beta 90.00
_cell_angle_gamma 90.00
_space_group_name_H-M_alt 'F m -3 m'
_space_group_IT_number 225
_space_group_name_Hall '-F 4 2 3'
loop_
_atom_site_label
_atom_site_type_symbol
_atom_site_fract_x
_atom_site_fract_y
_atom_site_fract_z
Zr1 Zr 0.0000 0.0000 0.0000
V1 V 0.2500 0.2500 0.2500
Rh1 Rh 0.0000 0.0000 0.5000
```

Calculated values
Energy above the lowest structure with this stoichiometry in eV/atom: 0.000
Total energy in eV for the cell shown: -138.3